Compound: CuSiTc
Source: Alexandria
Functional: PBE-GGA
Structure: optimized geometry

Lattice parameters (Å, degrees): 4.065 4.065 4.065 60.00 60.00 60.00
Each line ends with the local moment (μB).
Positions (direct):
Si 0.500 0.500 0.500  -0.02
Cu 0.000 0.000 0.000  0.09
Tc 0.750 0.750 0.750  0.81

Summary:
Formation energy (no corrections) in eV per atom: 0.33
Size of the total moment in μB per formula unit: 0.95
Uncorrected energy in eV per atom: -6.30
ΔE to the lowest computed polymorph in eV/atom: 0.454
SG: No. 216